A plane-wave DFT calculation with PBE with a Hubbard U was carried out for LaGeMo2O after structural relaxation.

```
LaGeMo2O
1.0
-2.738 -2.991 3.050
1.560 -3.466 -1.998
3.853 -0.166 3.297
Mo Ge La O
2 1 1 1
Direct
0.500 0.000 0.000 Mo
0.000 0.000 0.500 Mo
0.000 0.000 0.000 Ge
0.500 0.500 0.500 La
0.000 0.500 0.000 O
```

- E_tot (eV per formula unit) = -25.339
- ρ (g/cm3) = 6.30
- space group = P4/mmm